Cr2IrBr | GGA-PBE | relaxed

Cell: 2.844 2.844 9.403 Å, 90.00 90.00 117.69°
Element x y z (fractional)
1 Cr 0.000 0.000 0.000
2 Cr 0.500 0.500 0.192
3 Ir 0.500 0.500 0.786
4 Br 0.000 0.000 0.421

Density in Mg/m³: 9.28
Energy relative to the elements, uncorrected in meV/atom: 615
SG: Cmm2

***

CrIrBr | GGA-PBE | relaxed

Cell: 3.133 3.133 6.357 Å, 90.00 90.00 120.00°
Element x y z (fractional)
1 Cr 0.000 0.000 0.000
2 Ir 0.667 0.333 0.275
3 Br 0.333 0.667 0.714

Density in Mg/m³: 9.96
Energy relative to the elements, uncorrected in meV/atom: 399
SG: P3m1